! GGA-PBE SrLi2InH, optimized geometry; values from VASP
&SYSTEM
  ibrav = 0, nat = 5, ntyp = 4
/
ATOMIC_SPECIES
Sr 87.62 Sr.upf
Li 6.94 Li.upf
In 114.82 In.upf
H 1.01 H.upf
CELL_PARAMETERS angstrom
4.725 0.000 0.000
0.000 4.725 0.000
0.000 0.000 4.891
ATOMIC_POSITIONS crystal
Sr 0.000 0.000 0.000
Li 0.000 0.500 0.500
Li 0.500 0.000 0.500
In 0.500 0.500 0.000
H 0.000 0.000 0.500
! E ... -12.659 eV for the cell shown
! Space-group type ... No. 123

---

! GGA-PBE LaTa2Mo, optimized geometry; values from VASP
&SYSTEM
  ibrav = 0, nat = 4, ntyp = 3
/
ATOMIC_SPECIES
La 138.91 La.upf
Ta 180.95 Ta.upf
Mo 95.94 Mo.upf
CELL_PARAMETERS angstrom
-1.626 2.554 4.932
1.626 -2.554 4.932
1.626 2.554 -4.932
ATOMIC_POSITIONS crystal
La 0.000 0.000 0.000
Ta 0.270 0.770 0.500
Ta 0.730 0.230 0.500
Mo 0.500 0.500 0.000
! Energy of formation from the pure elements ... 495 meV/atom
! Space-group type ... No. 71
! Polymorph energy (0 for the lowest one) ... 289 meV/atom

---

! GGA-PBE CsCoI3, optimized geometry; values from VASP
&SYSTEM
  ibrav = 0, nat = 5, ntyp = 3
/
ATOMIC_SPECIES
Cs 132.91 Cs.upf
Co 58.93 Co.upf
I 126.90 I.upf
CELL_PARAMETERS angstrom
5.650 0.000 0.000
0.000 5.650 0.000
0.000 0.000 5.650
ATOMIC_POSITIONS crystal
Cs 0.000 0.000 0.000
Co 0.500 0.500 0.500
I 0.000 0.500 0.500
I 0.500 0.000 0.500
I 0.500 0.500 0.000
! Raw formation energy ... -487 meV per atom
! Space-group type ... No. 221

---

! GGA-PBE SrLa2Os, optimized geometry; values from VASP
&SYSTEM
  ibrav = 0, nat = 4, ntyp = 3
/
ATOMIC_SPECIES
Sr 87.62 Sr.upf
La 138.91 La.upf
Os 190.23 Os.upf
CELL_PARAMETERS angstrom
3.579 0.000 0.000
0.000 3.579 0.000
0.000 0.000 10.026
ATOMIC_POSITIONS crystal
Sr 0.000 0.000 0.000
La 0.000 0.000 0.649
La 0.500 0.500 0.342
Os 0.500 0.500 0.799
! Energy of formation from the pure elements ... 242 meV/atom
! Space-group type ... No. 99
! Polymorph energy (0 for the lowest one) ... 304 meV/atom

---

! GGA-PBE La2Tb3Ho9, optimized geometry; values from VASP
&SYSTEM
  ibrav = 0, nat = 14, ntyp = 3
/
ATOMIC_SPECIES
La 138.91 La.upf
Tb 158.93 Tb.upf
Ho 164.93 Ho.upf
CELL_PARAMETERS angstrom
6.234 0.000 0.000
1.968 8.547 0.000
0.578 1.603 8.636
ATOMIC_POSITIONS crystal
La 0.000 0.000 0.000
La 0.089 0.584 0.058
Tb 0.297 0.028 0.653
Tb 0.479 0.236 0.012
Tb 0.809 0.576 0.415
Ho 0.020 0.218 0.282
Ho 0.042 0.388 0.768
Ho 0.203 0.808 0.370
Ho 0.371 0.400 0.400
Ho 0.461 0.593 0.720
Ho 0.548 0.797 0.036
Ho 0.639 0.988 0.348
Ho 0.736 0.195 0.641
Ho 0.890 0.795 0.697
! Energy of formation from the pure elements ... 119 meV/atom
! Space-group type ... No. 1

---

! GGA-PBE MnCd2PdC, optimized geometry; values from VASP
&SYSTEM
  ibrav = 0, nat = 5, ntyp = 4
/
ATOMIC_SPECIES
Mn 54.94 Mn.upf
Cd 112.41 Cd.upf
Pd 106.42 Pd.upf
C 12.01 C.upf
CELL_PARAMETERS angstrom
4.997 0.000 0.000
0.000 4.997 0.000
0.000 0.000 4.425
ATOMIC_POSITIONS crystal
Mn 0.000 0.000 0.000
Cd 0.000 0.500 0.000
Cd 0.500 0.000 0.000
Pd 0.000 0.000 0.500
C 0.500 0.500 0.500
! Energy of formation from the pure elements ... 2160 meV/atom
! Space-group type ... No. 123

---

Please write out number 5 again, unchanged.
! GGA-PBE La2Tb3Ho9, optimized geometry; values from VASP
&SYSTEM
  ibrav = 0, nat = 14, ntyp = 3
/
ATOMIC_SPECIES
La 138.91 La.upf
Tb 158.93 Tb.upf
Ho 164.93 Ho.upf
CELL_PARAMETERS angstrom
6.234 0.000 0.000
1.968 8.547 0.000
0.578 1.603 8.636
ATOMIC_POSITIONS crystal
La 0.000 0.000 0.000
La 0.089 0.584 0.058
Tb 0.297 0.028 0.653
Tb 0.479 0.236 0.012
Tb 0.809 0.576 0.415
Ho 0.020 0.218 0.282
Ho 0.042 0.388 0.768
Ho 0.203 0.808 0.370
Ho 0.371 0.400 0.400
Ho 0.461 0.593 0.720
Ho 0.548 0.797 0.036
Ho 0.639 0.988 0.348
Ho 0.736 0.195 0.641
Ho 0.890 0.795 0.697
! Energy of formation from the pure elements ... 119 meV/atom
! Space-group type ... No. 1